Run i
# SrZn3Sb3

Crystalline SrZn3Sb3 at its relaxed geometry (PBE-GGA, Alexandria).

Cell and atoms, written as CIF:
```
data_SrZn3Sb3
_space_group_name_H-M_alt 'P m -3 n'
_space_group_IT_number 223
_space_group_name_Hall '-P 4n 2 3'
_cell_length_a 7.4984
_cell_length_b 7.4984
_cell_length_c 7.4984
_cell_angle_alpha 90.00
_cell_angle_beta 90.00
_cell_angle_gamma 90.00
loop_
_atom_site_label
_atom_site_type_symbol
_atom_site_fract_x
_atom_site_fract_y
_atom_site_fract_z
_atom_site_occupancy
Sr1 Sr 0.0000 0.0000 0.0000 1
Zn1 Zn 0.0000 0.2500 0.5000 1
Sb1 Sb 0.0000 0.5000 0.2500 1
```


Run ii
# SrZn3Sb3

Crystalline SrZn3Sb3 at its relaxed geometry (PBE-GGA, Alexandria).

Cell and atoms, written as CIF:
```
data_SrZn3Sb3
_space_group_name_H-M_alt 'R -3'
_space_group_IT_number 148
_space_group_name_Hall '-R 3'
_cell_length_a 7.6176
_cell_length_b 7.6176
_cell_length_c 24.0136
_cell_angle_alpha 90.00
_cell_angle_beta 90.00
_cell_angle_gamma 120.00
loop_
_atom_site_label
_atom_site_type_symbol
_atom_site_fract_x
_atom_site_fract_y
_atom_site_fract_z
_atom_site_occupancy
Sr1 Sr 0.0000 0.0000 0.1659 1
Zn1 Zn 0.0013 0.3471 0.6292 1
Sb1 Sb 0.0016 0.3204 0.4112 1
```


Run iii
# SrZn3Sb3

Crystalline SrZn3Sb3 at its relaxed geometry (PBE-GGA, Alexandria).

Cell and atoms, written as CIF:
```
data_SrZn3Sb3
_space_group_name_H-M_alt 'P 63/m'
_space_group_IT_number 176
_space_group_name_Hall '-P 6c'
_cell_length_a 10.6296
_cell_length_b 10.6296
_cell_length_c 4.4829
_cell_angle_alpha 90.00
_cell_angle_beta 90.00
_cell_angle_gamma 120.00
loop_
_atom_site_label
_atom_site_type_symbol
_atom_site_fract_x
_atom_site_fract_y
_atom_site_fract_z
_atom_site_occupancy
Sr1 Sr 0.3333 0.6667 0.2500 1
Zn1 Zn 0.0643 0.4108 0.7500 1
Sb1 Sb 0.0911 0.6882 0.7500 1
```


The structure with the most favorable energy is run ii; the runner-up is 10 meV per atom above it.


Run i
# SrZn3Sb

Crystalline SrZn3Sb at its relaxed geometry (PBE-GGA, Alexandria).

Cell and atoms, written as CIF:
```
data_SrZn3Sb
_space_group_name_H-M_alt 'P m -3 m'
_space_group_IT_number 221
_space_group_name_Hall '-P 4 2 3'
_cell_length_a 5.3119
_cell_length_b 5.3119
_cell_length_c 5.3119
_cell_angle_alpha 90.00
_cell_angle_beta 90.00
_cell_angle_gamma 90.00
loop_
_atom_site_label
_atom_site_type_symbol
_atom_site_fract_x
_atom_site_fract_y
_atom_site_fract_z
_atom_site_occupancy
Sr1 Sr 0.0000 0.0000 0.0000 1
Zn1 Zn 0.0000 0.5000 0.5000 1
Sb1 Sb 0.5000 0.5000 0.5000 1
```


Run ii
# SrZn3Sb

Crystalline SrZn3Sb at its relaxed geometry (PBE-GGA, Alexandria).

Cell and atoms, written as CIF:
```
data_SrZn3Sb
_space_group_name_H-M_alt 'P m -3 m'
_space_group_IT_number 221
_space_group_name_Hall '-P 4 2 3'
_cell_length_a 5.6952
_cell_length_b 5.6952
_cell_length_c 5.6952
_cell_angle_alpha 90.00
_cell_angle_beta 90.00
_cell_angle_gamma 90.00
loop_
_atom_site_label
_atom_site_type_symbol
_atom_site_fract_x
_atom_site_fract_y
_atom_site_fract_z
_atom_site_occupancy
Sr1 Sr 0.0000 0.0000 0.0000 1
Zn1 Zn 0.0000 0.0000 0.5000 1
Sb1 Sb 0.5000 0.5000 0.5000 1
```


The structure with the most favorable energy is run i; the runner-up is 698 meV per atom above it.